[1]
AlPt3Se6: relaxed, PBE.

Results
E_tot in eV/atom: -4.576
ΔE_f (raw) in eV/atom: -0.299
D(E_F) in states/eV per atom: 0.40

```
data_AlPt3Se6
_symmetry_space_group_name_H-M 'C 1 2/m 1'
_symmetry_Int_Tables_number 12
_symmetry_space_group_name_Hall '-C 2y'
_cell_length_a 12.740
_cell_length_b 7.591
_cell_length_c 5.107
_cell_angle_alpha 90.00
_cell_angle_beta 94.22
_cell_angle_gamma 90.00
loop_
_atom_site_label
_atom_site_fract_x
_atom_site_fract_y
_atom_site_fract_z
_atom_site_occupancy
Al1 0.000 0.000 0.000 1
Pt1 0.000 0.500 0.500 1
Pt2 0.250 0.250 0.000 1
Se1 0.080 0.261 0.768 1
Se2 0.178 0.000 0.242 1
```

***

[2]
Sc2BeGa2: relaxed, PBE.

Results
E_tot in eV/atom: -4.984
Polymorph energy (0 for the lowest one) in eV per atom: 0.000
D(E_F) in states/eV per atom: 0.67
Formation enthalpy at 0 K in meV per atom: -495

```
data_Sc2BeGa2
_symmetry_space_group_name_H-M 'C 1 2/m 1'
_symmetry_Int_Tables_number 12
_symmetry_space_group_name_Hall '-C 2y'
_cell_length_a 9.873
_cell_length_b 4.070
_cell_length_c 9.691
_cell_angle_alpha 90.00
_cell_angle_beta 117.33
_cell_angle_gamma 90.00
loop_
_atom_site_label
_atom_site_fract_x
_atom_site_fract_y
_atom_site_fract_z
_atom_site_occupancy
Sc1 0.017 0.000 0.335 1
Sc2 0.183 0.000 0.098 1
Be1 0.225 0.500 0.344 1
Ga1 0.018 0.500 0.875 1
Ga2 0.150 0.500 0.570 1
```

***

[3]
Ti6SeS: relaxed, PBE.

Results
E_tot in eV/atom: -7.271
ΔE_f (raw) in eV/atom: -0.398
D(E_F) in states/eV per atom: 1.16

```
data_Ti6SeS
_symmetry_space_group_name_H-M 'P -1'
_symmetry_Int_Tables_number 2
_symmetry_space_group_name_Hall '-P 1'
_cell_length_a 5.587
_cell_length_b 5.589
_cell_length_c 6.214
_cell_angle_alpha 90.12
_cell_angle_beta 116.54
_cell_angle_gamma 119.95
loop_
_atom_site_label
_atom_site_fract_x
_atom_site_fract_y
_atom_site_fract_z
_atom_site_occupancy
Ti1 0.016 0.056 0.260 1
Ti2 0.294 0.538 0.740 1
Ti3 0.300 0.744 0.260 1
Se1 0.500 0.000 0.000 1
S1 0.500 0.500 0.500 1
```

***

[4]
Pu2MnGe4Pt3: relaxed, PBE.

Results
E_tot in eV/atom: -8.045
D(E_F) in states/eV per atom: 2.78
Formation enthalpy at 0 K in meV per atom: -603

```
data_Pu2MnGe4Pt3
_symmetry_space_group_name_H-M 'P -4 m 2'
_symmetry_Int_Tables_number 115
_symmetry_space_group_name_Hall 'P -4 -2'
_cell_length_a 4.207
_cell_length_b 4.207
_cell_length_c 10.667
_cell_angle_alpha 90.00
_cell_angle_beta 90.00
_cell_angle_gamma 90.00
loop_
_atom_site_label
_atom_site_fract_x
_atom_site_fract_y
_atom_site_fract_z
_atom_site_occupancy
Pu1 0.000 0.500 0.249 1
Mn1 0.500 0.500 0.000 1
Ge1 0.000 0.000 0.500 1
Ge2 0.000 0.500 0.865 1
Ge3 0.500 0.500 0.500 1
Pt1 0.000 0.000 0.000 1
Pt2 0.000 0.500 0.632 1
```

***

[5]
Cs4HAuBr: relaxed, PBE.

Results
E_tot in eV/atom: -2.273
D(E_F) in states/eV per atom: 0.66

```
data_Cs4HAuBr
_symmetry_space_group_name_H-M 'I 4 m m'
_symmetry_Int_Tables_number 107
_symmetry_space_group_name_Hall 'I 4 -2'
_cell_length_a 5.763
_cell_length_b 5.763
_cell_length_c 19.578
_cell_angle_alpha 90.00
_cell_angle_beta 90.00
_cell_angle_gamma 90.00
loop_
_atom_site_label
_atom_site_fract_x
_atom_site_fract_y
_atom_site_fract_z
_atom_site_occupancy
Cs1 0.000 0.000 0.000 1
Cs2 0.000 0.000 0.365 1
Cs3 0.000 0.500 0.186 1
H1 0.000 0.000 0.153 1
Au1 0.000 0.000 0.811 1
Br1 0.000 0.000 0.553 1
```

***

[6]
PrNdTe2S: relaxed, PBE.

Results
E_tot in eV/atom: -5.511
ΔE_f (raw) in eV/atom: -1.519
D(E_F) in states/eV per atom: 0.36

```
data_PrNdTe2S
_symmetry_space_group_name_H-M 'P 4/n m m'
_symmetry_Int_Tables_number 129
_cell_length_a 4.536
_cell_length_b 4.536
_cell_length_c 16.101
_cell_angle_alpha 90.00
_cell_angle_beta 90.00
_cell_angle_gamma 90.00
loop_
_symmetry_equiv_pos_as_xyz
'x,y,z'
'-x,-y,-z'
'-y+1/2,x,z'
'y+1/2,-x,-z'
'-x+1/2,-y+1/2,z'
'x+1/2,y+1/2,-z'
'y,-x+1/2,z'
'-y,x+1/2,-z'
'x+1/2,-y,-z'
'-x+1/2,y,z'
'-y,-x,-z'
'y,x,z'
'-x,y+1/2,-z'
'x,-y+1/2,z'
'y+1/2,x+1/2,-z'
'-y+1/2,-x+1/2,z'
loop_
_atom_site_label
_atom_site_fract_x
_atom_site_fract_y
_atom_site_fract_z
_atom_site_occupancy
Pr1 0.250 0.250 0.102 1
Nd1 0.250 0.250 0.616 1
Te1 0.250 0.250 0.407 1
Te2 0.250 0.250 0.801 1
S1 0.250 0.750 0.000 1
```